[1]
Material: Ho2ScAu6
Method: DFT, PBE
State: optimized geometry

Cell: 8.3525 8.3525 5.1796 Å, 98.86 98.86 143.86°
Atoms (fractional coordinates):
Ho: 0.1647 0.8353 0.0000
Ho: 0.8353 0.1647 0.0000
Sc: 0.5000 0.5000 0.5000
Au: 0.1578 0.1578 0.8280
Au: 0.1741 0.4997 0.6652
Au: 0.4997 0.1741 0.6652
Au: 0.5003 0.8259 0.3348
Au: 0.8259 0.5003 0.3348
Au: 0.8422 0.8422 0.1720

## Properties
Total magnetization = 0.0000 μB per atom
Energy = -4.678 eV/atom
DFT formation energy = -6.946 eV/f.u.



[2]
Material: Tb8Sm4Sc
Method: DFT, PBE
State: optimized geometry

Cell: 7.7446 7.7446 7.7446 Å, 90.18 90.18 90.18°
Atoms (fractional coordinates):
Tb: 0.2419 0.2419 0.2419
Tb: 0.2417 0.2417 0.7564
Tb: 0.2417 0.7564 0.2417
Tb: 0.2436 0.7583 0.7583
Tb: 0.7564 0.2417 0.2417
Tb: 0.7583 0.2436 0.7583
Tb: 0.7583 0.7583 0.2436
Tb: 0.7581 0.7581 0.7581
Sm: 0.0000 0.0000 0.0000
Sm: 0.0000 0.5000 0.5000
Sm: 0.5000 0.0000 0.5000
Sm: 0.5000 0.5000 0.0000
Sc: 0.5000 0.5000 0.5000

## Properties
Total magnetization = 0.0000 μB per atom
Energy = -4.273 eV/atom
DFT formation energy = 6.695 eV/f.u.



[3]
Material: CrAgGeP2
Method: DFT, PBE
State: optimized geometry

Cell: 4.7353 4.7353 4.7097 Å, 90.00 90.00 90.00°
Atoms (fractional coordinates):
Cr: 0.0000 0.0000 0.0000
Ag: 0.5000 0.5000 0.0000
Ge: 0.0000 0.0000 0.5000
P: 0.0000 0.5000 0.5000
P: 0.5000 0.0000 0.5000

## Properties
Total magnetization = 0.6911 μB per atom
Energy = -4.586 eV/atom
DFT formation energy = 4.983 eV/f.u.



[4]
Material: Sm3Er4Th
Method: DFT, PBE
State: optimized geometry

Cell: 11.4586 7.2206 6.2533 Å, 90.00 90.00 90.00°
Atoms (fractional coordinates):
Sm: 0.0000 0.1225 0.0000
Sm: 0.2484 0.1236 0.3317
Sm: 0.2516 0.8764 0.8317
Sm: 0.5000 0.8775 0.5000
Sm: 0.7484 0.8764 0.8317
Sm: 0.7516 0.1236 0.3317
Er: 0.0000 0.3773 0.5027
Er: 0.0000 0.6271 0.0039
Er: 0.2484 0.6245 0.3419
Er: 0.2516 0.3755 0.8419
Er: 0.5000 0.3729 0.5039
Er: 0.5000 0.6227 0.0027
Er: 0.7484 0.3755 0.8419
Er: 0.7516 0.6245 0.3419
Th: 0.0000 0.8734 0.5060
Th: 0.5000 0.1266 0.0060

## Properties
Total magnetization = 0.0000 μB per atom
Energy = -4.940 eV/atom
DFT formation energy = 0.307 eV/f.u.
ΔE to the lowest computed polymorph = 16 meV per atom



[5]
Material: LaPm4Th2
Method: DFT, PBE
State: optimized geometry

Cell: 6.2783 6.3048 6.3209 Å, 99.53 99.60 99.53°
Atoms (fractional coordinates):
La: 0.0000 0.0000 0.0000
Pm: 0.1549 0.5815 0.2982
Pm: 0.3026 0.1498 0.5830
Pm: 0.4458 0.7164 0.8638
Pm: 0.5982 0.3006 0.1606
Th: 0.7349 0.8673 0.4464
Th: 0.8673 0.4320 0.7140

## Properties
Total magnetization = 0.0000 μB per atom
Energy = -5.484 eV/atom
DFT formation energy = 0.381 eV/f.u.
ΔE to the lowest computed polymorph = 0 meV per atom



[6]
Material: CeTmZn
Method: DFT, PBE
State: optimized geometry

Cell: 6.6907 6.6907 6.6907 Å, 149.62 149.62 43.49°
Atoms (fractional coordinates):
Ce: 0.0000 0.0000 0.0000
Tm: 0.7045 0.7045 0.0000
Zn: 0.3420 0.3420 0.0000

## Properties
Total magnetization = 0.3481 μB per atom
Energy = -4.026 eV/atom
DFT formation energy = -0.398 eV/f.u.
ΔE to the lowest computed polymorph = 32 meV per atom



[7]
Material: Sr3TbNd2Se6
Method: DFT, PBE
State: optimized geometry

Cell: 7.3885 7.3885 7.5499 Å, 99.42 99.42 119.94°
Atoms (fractional coordinates):
Sr: 0.0000 0.0000 0.0000
Sr: 0.3313 0.6687 0.0000
Sr: 0.6687 0.3313 0.0000
Tb: 0.5000 0.5000 0.5000
Nd: 0.1659 0.8341 0.5000
Nd: 0.8341 0.1659 0.5000
Se: 0.0948 0.4211 0.2625
Se: 0.2538 0.2538 0.7390
Se: 0.4211 0.0948 0.2625
Se: 0.5789 0.9052 0.7375
Se: 0.7462 0.7462 0.2610
Se: 0.9052 0.5789 0.7375

## Properties
Total magnetization = 0.0000 μB per atom
Formation energy without anion corrections = -1.91 eV/atom
Energy = -5.253 eV/atom



[8]
Material: KLiUSe3
Method: DFT, PBE
State: optimized geometry

Cell: 9.1290 4.2317 9.4705 Å, 90.00 106.62 90.00°
Atoms (fractional coordinates):
K: 0.2054 0.2500 0.2524
K: 0.7946 0.7500 0.7476
Li: 0.0799 0.2500 0.5938
Li: 0.9201 0.7500 0.4062
U: 0.3225 0.7500 0.8447
U: 0.6775 0.2500 0.1553
Se: 0.1249 0.2500 0.8718
Se: 0.2090 0.7500 0.5409
Se: 0.4642 0.7500 0.1588
Se: 0.5358 0.2500 0.8412
Se: 0.7910 0.2500 0.4591
Se: 0.8751 0.7500 0.1282

## Properties
Total magnetization = 0.3333 μB per atom
Formation energy without anion corrections = -1.27 eV/atom
Energy = -5.392 eV/atom



[9]
Material: UGa2Au4
Method: DFT, PBE
State: optimized geometry

Cell: 17.7054 4.5654 6.7723 Å, 90.00 90.00 90.00°
Atoms (fractional coordinates):
U: 0.1347 0.2500 0.0090
U: 0.3653 0.7500 0.5090
U: 0.6347 0.2500 0.4910
U: 0.8653 0.7500 0.9910
Ga: 0.0391 0.7500 0.2220
Ga: 0.2155 0.2500 0.5300
Ga: 0.2845 0.7500 0.0300
Ga: 0.4609 0.2500 0.7220
Ga: 0.5391 0.7500 0.2780
Ga: 0.7155 0.2500 0.9700
Ga: 0.7845 0.7500 0.4700
Ga: 0.9609 0.2500 0.7780
Au: 0.0384 0.7500 0.8115
Au: 0.0699 0.2500 0.5077
Au: 0.1820 0.7500 0.3084
Au: 0.1960 0.7500 0.7336
Au: 0.3040 0.2500 0.2336
Au: 0.3180 0.2500 0.8084
Au: 0.4301 0.7500 0.0077
Au: 0.4616 0.2500 0.3115
Au: 0.5384 0.7500 0.6885
Au: 0.5699 0.2500 0.9923
Au: 0.6820 0.7500 0.1916
Au: 0.6960 0.7500 0.7664
Au: 0.8040 0.2500 0.2664
Au: 0.8180 0.2500 0.6916
Au: 0.9301 0.7500 0.4923
Au: 0.9616 0.2500 0.1885

## Properties
Total magnetization = 0.3778 μB per atom
Energy = -4.563 eV/atom
DFT formation energy = -1.486 eV/f.u.



[10]
Material: Ac3TbSn6
Method: DFT, PBE
State: optimized geometry

Cell: 8.7170 8.7170 8.7170 Å, 97.27 97.27 97.27°
Atoms (fractional coordinates):
Ac: 0.1818 0.7500 0.3182
Ac: 0.2500 0.6818 0.8182
Ac: 0.3182 0.1818 0.7500
Ac: 0.6818 0.8182 0.2500
Ac: 0.7500 0.3182 0.1818
Ac: 0.8182 0.2500 0.6818
Tb: 0.0000 0.0000 0.0000
Tb: 0.5000 0.5000 0.5000
Sn: 0.0135 0.0882 0.3653
Sn: 0.0882 0.3653 0.0135
Sn: 0.1347 0.4118 0.4865
Sn: 0.3653 0.0135 0.0882
Sn: 0.4118 0.4865 0.1347
Sn: 0.4865 0.1347 0.4118
Sn: 0.5135 0.8653 0.5882
Sn: 0.5882 0.5135 0.8653
Sn: 0.6347 0.9865 0.9118
Sn: 0.8653 0.5882 0.5135
Sn: 0.9118 0.6347 0.9865
Sn: 0.9865 0.9118 0.6347

## Properties
Total magnetization = 0.0000 μB per atom
Energy = -4.721 eV/atom
DFT formation energy = -6.237 eV/f.u.



[11]
Material: Mg3Cd2
Method: DFT, PBE
State: optimized geometry

Cell: 8.4836 8.4775 3.6821 Å, 77.55 77.37 25.08°
Atoms (fractional coordinates):
Mg: 0.0000 0.0000 0.0000
Mg: 0.1965 0.1965 0.8035
Mg: 0.8035 0.8035 0.1965
Cd: 0.3984 0.3984 0.6016
Cd: 0.6016 0.6016 0.3984

## Properties
Total magnetization = 0.0000 μB per atom
Energy = -1.399 eV/atom
DFT formation energy = -0.379 eV/f.u.
ΔE to the lowest computed polymorph = 0 meV per atom



[12]
Material: Mn2BeZnC
Method: DFT, PBE
State: optimized geometry

Cell: 3.8512 3.8512 3.5525 Å, 90.00 90.00 90.00°
Atoms (fractional coordinates):
Mn: 0.0000 0.5000 0.0000
Mn: 0.5000 0.0000 0.0000
Be: 0.0000 0.0000 0.5000
Zn: 0.5000 0.5000 0.5000
C: 0.0000 0.0000 0.0000

## Properties
Total magnetization = 0.7261 μB per atom
Energy = -6.509 eV/atom
DFT formation energy = 0.019 eV/f.u.



[13]
Material: MnPtI3
Method: DFT, PBE
State: optimized geometry

Cell: 5.1813 5.1813 5.1813 Å, 90.00 90.00 90.00°
Atoms (fractional coordinates):
Mn: 0.0000 0.0000 0.0000
Pt: 0.5000 0.5000 0.5000
I: 0.0000 0.0000 0.5000
I: 0.0000 0.5000 0.0000
I: 0.5000 0.0000 0.0000

## Properties
Total magnetization = 0.0003 μB per atom
Formation energy without anion corrections = 1.04 eV/atom
Energy = -2.935 eV/atom
ΔE to the lowest computed polymorph = 639 meV per atom



[14]
Material: La6Si2Se3S
Method: DFT, PBE
State: optimized geometry

Cell: 9.7097 9.7097 8.6731 Å, 103.41 103.41 25.78°
Atoms (fractional coordinates):
La: 0.0035 0.0035 0.2449
La: 0.3311 0.3311 0.4227
La: 0.3355 0.3355 0.9098
La: 0.6645 0.6645 0.0902
La: 0.6689 0.6689 0.5773
La: 0.9965 0.9965 0.7551
Si: 0.1645 0.1645 0.3290
Si: 0.8355 0.8355 0.6710
Se: 0.1659 0.1659 0.8342
Se: 0.5000 0.5000 0.5000
Se: 0.8341 0.8341 0.1658
S: 0.5000 0.5000 0.0000

## Properties
Total magnetization = 0.0000 μB per atom
Formation energy without anion corrections = -1.62 eV/atom
Energy = -6.204 eV/atom



[15]
Material: NbGeBr2
Method: DFT, PBE
State: optimized geometry

Cell: 7.2021 7.2021 7.2021 Å, 97.46 97.46 137.76°
Atoms (fractional coordinates):
Nb: 0.0000 0.0000 0.0000
Nb: 0.7500 0.2500 0.5000
Ge: 0.2500 0.7500 0.5000
Ge: 0.5000 0.5000 0.0000
Br: 0.3750 0.2308 0.3558
Br: 0.7692 0.1250 0.1442
Br: 0.8750 0.0192 0.6442
Br: 0.9808 0.6250 0.8558

## Properties
Total magnetization = 0.2885 μB per atom
Formation energy without anion corrections = 0.05 eV/atom
Energy = -4.457 eV/atom
ΔE to the lowest computed polymorph = 166 meV per atom



[16]
Material: NaCd2Sb2
Method: DFT, PBE
State: optimized geometry

Cell: 6.6429 6.9189 7.1503 Å, 70.15 71.91 75.33°
Atoms (fractional coordinates):
Na: 0.0537 0.4983 0.2370
Na: 0.9463 0.5017 0.7630
Cd: 0.2310 0.9814 0.0214
Cd: 0.4715 0.7346 0.5201
Cd: 0.5285 0.2654 0.4799
Cd: 0.7690 0.0186 0.9786
Sb: 0.1285 0.0700 0.6007
Sb: 0.4272 0.3568 0.8769
Sb: 0.5728 0.6432 0.1231
Sb: 0.8715 0.9300 0.3993

## Properties
Total magnetization = 0.0000 μB per atom
Formation energy without anion corrections = -0.16 eV/atom
Energy = -2.435 eV/atom
ΔE to the lowest computed polymorph = 0 meV per atom



[17]
Material: Rb2TlPCl6
Method: DFT, PBE
State: optimized geometry

Cell: 7.6831 7.6831 7.6831 Å, 60.00 60.00 60.00°
Atoms (fractional coordinates):
Rb: 0.2500 0.2500 0.2500
Rb: 0.7500 0.7500 0.7500
Tl: 0.0000 0.0000 0.0000
P: 0.5000 0.5000 0.5000
Cl: 0.2767 0.2767 0.7233
Cl: 0.2767 0.7233 0.2767
Cl: 0.2767 0.7233 0.7233
Cl: 0.7233 0.2767 0.2767
Cl: 0.7233 0.2767 0.7233
Cl: 0.7233 0.7233 0.2767

## Properties
Total magnetization = 0.0000 μB per atom
Formation energy without anion corrections = -1.18 eV/atom
Energy = -3.257 eV/atom
ΔE to the lowest computed polymorph = 15 meV per atom



[18]
Material: Zr2CoNi2
Method: DFT, PBE
State: optimized geometry

Cell: 4.9686 4.9686 4.9686 Å, 121.62 121.62 87.22°
Atoms (fractional coordinates):
Zr: 0.2500 0.7500 0.5000
Zr: 0.7500 0.2500 0.5000
Co: 0.0000 0.0000 0.0000
Ni: 0.3512 0.3512 0.0000
Ni: 0.6488 0.6488 0.0000

## Properties
Total magnetization = 0.1651 μB per atom
Energy = -7.143 eV/atom
DFT formation energy = 0.050 eV/f.u.



[19]
Material: Nd2Tm7Sc
Method: DFT, PBE
State: optimized geometry

Cell: 14.5497 14.5497 3.4364 Å, 90.00 90.00 154.55°
Atoms (fractional coordinates):
Nd: 0.2078 0.7922 0.0000
Nd: 0.7922 0.2078 0.0000
Tm: 0.0000 0.0000 0.0000
Tm: 0.1611 0.3517 0.0000
Tm: 0.3172 0.6828 0.5000
Tm: 0.3517 0.1611 0.0000
Tm: 0.6483 0.8389 0.0000
Tm: 0.6828 0.3172 0.5000
Tm: 0.8389 0.6483 0.0000
Sc: 0.5000 0.5000 0.5000

## Properties
Total magnetization = 0.0000 μB per atom
Energy = -4.545 eV/atom
DFT formation energy = 1.720 eV/f.u.



[20]
Material: Tb3NdDyHo
Method: DFT, PBE
State: optimized geometry

Cell: 6.4695 6.4695 11.6039 Å, 90.00 90.00 126.97°
Atoms (fractional coordinates):
Tb: 0.1380 0.8620 0.7500
Tb: 0.3257 0.6743 0.5295
Tb: 0.3257 0.6743 0.9705
Tb: 0.6743 0.3257 0.0295
Tb: 0.6743 0.3257 0.4705
Tb: 0.8620 0.1380 0.2500
Nd: 0.4732 0.5268 0.2500
Nd: 0.5268 0.4732 0.7500
Dy: 0.0000 0.0000 0.0000
Dy: 0.0000 0.0000 0.5000
Ho: 0.1719 0.8281 0.2500
Ho: 0.8281 0.1719 0.7500

## Properties
Total magnetization = 0.0000 μB per atom
Energy = -4.515 eV/atom
DFT formation energy = 0.750 eV/f.u.